# 1
# Y7FeI12 PBE-GGA optimized geometry
# - Final energy: -4.788 eV/atom
# - Volume: 2306 Å³ per cell
data_Y7FeI12
_chemical_formula_sum 'Y21 Fe3 I36'
_space_group_name_H-M_alt 'R -3'
_space_group_IT_number 148
_space_group_name_Hall '-R 3'
_cell_length_a 15.6395
_cell_length_b 15.6395
_cell_length_c 10.8855
_cell_angle_alpha 90.00
_cell_angle_beta 90.00
_cell_angle_gamma 120.00
loop_
_atom_site_label
_atom_site_type_symbol
_atom_site_fract_x
_atom_site_fract_y
_atom_site_fract_z
Y1 Y 0.0000 0.0000 0.0000
Y2 Y 0.0426 0.1552 0.3655
Fe1 Fe 0.0000 0.0000 0.5000
I1 I 0.0192 0.5868 0.1589
I2 I 0.0498 0.1770 0.8363

***

# 2
# TaNbGaN PBE-GGA optimized geometry
# - Final energy: -8.973 eV/atom
# - Distance to the lowest polymorph of the same formula: 0.000 eV/atom
# - Volume: 111 Å³ per cell
data_TaNbGaN
_chemical_formula_sum 'Ta2 Nb2 Ga2 N2'
_space_group_name_H-M_alt 'P -6 m 2'
_space_group_IT_number 187
_space_group_name_Hall 'P -6 2'
_cell_length_a 2.9883
_cell_length_b 2.9883
_cell_length_c 14.4099
_cell_angle_alpha 90.00
_cell_angle_beta 90.00
_cell_angle_gamma 120.00
loop_
_atom_site_label
_atom_site_type_symbol
_atom_site_fract_x
_atom_site_fract_y
_atom_site_fract_z
Ta1 Ta 0.0000 0.0000 0.1527
Nb1 Nb 0.3333 0.6667 0.3435
Ga1 Ga 0.0000 0.0000 0.5000
Ga2 Ga 0.3333 0.6667 0.0000
N1 N 0.6667 0.3333 0.2450

***

# 3
# ZrAlZn PBE-GGA optimized geometry
# - Final energy: -4.457 eV/atom
# - Volume: 241 Å³ per cell
data_ZrAlZn
_chemical_formula_sum 'Zr4 Al4 Zn4'
_space_group_name_H-M_alt 'F -4 3 m'
_space_group_IT_number 216
_space_group_name_Hall 'F -4 2 3'
_cell_length_a 6.227
_cell_length_b 6.227
_cell_length_c 6.227
_cell_angle_alpha 90.00
_cell_angle_beta 90.00
_cell_angle_gamma 90.00
loop_
_atom_site_label
_atom_site_type_symbol
_atom_site_fract_x
_atom_site_fract_y
_atom_site_fract_z
Zr1 Zr 0.000 0.000 0.000
Al1 Al 0.250 0.250 0.750
Zn1 Zn 0.000 0.000 0.500

***

# 4
# Zn2GaCuS4 PBE-GGA optimized geometry
# - Final energy: -3.918 eV/atom
# - Volume: 312 Å³ per cell
data_Zn2GaCuS4
_chemical_formula_sum 'Zn4 Ga2 Cu2 S8'
_space_group_name_H-M_alt 'I -4 2 m'
_space_group_IT_number 121
_space_group_name_Hall 'I -4 2'
_cell_length_a 5.401
_cell_length_b 5.401
_cell_length_c 10.682
_cell_angle_alpha 90.00
_cell_angle_beta 90.00
_cell_angle_gamma 90.00
loop_
_atom_site_label
_atom_site_type_symbol
_atom_site_fract_x
_atom_site_fract_y
_atom_site_fract_z
Zn1 Zn 0.000 0.500 0.250
Ga1 Ga 0.000 0.000 0.000
Cu1 Cu 0.000 0.000 0.500
S1 S 0.249 0.249 0.878